No. 1
Computed, not measured: a relaxed structure of KLaIr at the PBE level of DFT.

* ΔE_f: -0.1 eV/f.u.
* electronic total energy: -15.03 eV per cell
* DOS at the Fermi energy: 1.8 states/eV per cell
* space group: No. 156

abc: 4.295 4.295 7.525
angles: 90.00 90.00 120.00
Fractional positions:
K1 0.000 0.000 0.000
La1 0.667 0.333 0.543
Ir1 0.333 0.667 0.692



No. 2
Computed, not measured: a relaxed structure of Ba4Co at the PBE level of DFT.

* ΔE_f: 2.1 eV/f.u.
* electronic total energy: -12.69 eV per cell
* DOS at the Fermi energy: 10.1 states/eV per cell
* space group: No. 229

abc: 6.745 6.745 6.745
angles: 109.47 109.47 109.47
Fractional positions:
Ba1 0.000 0.000 0.500
Ba2 0.000 0.500 0.000
Ba3 0.500 0.000 0.000
Ba4 0.500 0.500 0.500
Co1 0.000 0.000 0.000



No. 3
Computed, not measured: a relaxed structure of La5Nd3Bi8 at the PBE level of DFT.

* ΔE_f: -16.3 eV/f.u.
* electronic total energy: -86.25 eV per cell
* DOS at the Fermi energy: 2.8 states/eV per cell
* space group: No. 166

abc: 9.340 9.340 9.340
angles: 60.01 60.01 60.01
Fractional positions:
La1 0.000 0.000 0.000
La2 0.000 0.500 0.500
La3 0.500 0.000 0.500
La4 0.500 0.500 0.000
La5 0.500 0.500 0.500
Nd1 0.000 0.000 0.500
Nd2 0.000 0.500 0.000
Nd3 0.500 0.000 0.000
Bi1 0.247 0.750 0.750
Bi2 0.249 0.249 0.249
Bi3 0.250 0.250 0.753
Bi4 0.250 0.753 0.250
Bi5 0.750 0.247 0.750
Bi6 0.750 0.750 0.247
Bi7 0.751 0.751 0.751
Bi8 0.753 0.250 0.250



No. 4
Computed, not measured: a relaxed structure of Ba4BiTe2 at the PBE level of DFT.

* electronic total energy: -53.64 eV per cell
* DOS at the Fermi energy: 6.6 states/eV per cell
* energy relative to the elements, uncorrected: -1281 meV/atom
* space group: No. 141

abc: 9.534 9.534 9.534
angles: 108.94 108.94 110.54
Fractional positions:
Ba1 0.191 0.255 0.564
Ba2 0.191 0.627 0.936
Ba3 0.255 0.191 0.064
Ba4 0.373 0.809 0.564
Ba5 0.627 0.191 0.436
Ba6 0.745 0.809 0.936
Ba7 0.809 0.373 0.064
Ba8 0.809 0.745 0.436
Bi1 0.125 0.875 0.250
Bi2 0.875 0.125 0.750
Te1 0.000 0.500 0.500
Te2 0.500 0.000 0.000
Te3 0.500 0.500 0.000
Te4 0.500 0.500 0.500



No. 5
Computed, not measured: a relaxed structure of MnAlCo2Cu at the PBE level of DFT.

* ΔE_f: 6.7 eV/f.u.
* electronic total energy: -24.47 eV per cell
* DOS at the Fermi energy: 7.4 states/eV per cell
* space group: No. 123

abc: 4.207 4.207 4.283
angles: 90.00 90.00 90.00
Fractional positions:
Mn1 0.000 0.000 0.000
Al1 0.500 0.500 0.500
Co1 0.000 0.500 0.500
Co2 0.500 0.000 0.500
Cu1 0.500 0.500 0.000



No. 6
Computed, not measured: a relaxed structure of PmPaSi at the PBE level of DFT.

* electronic total energy: -19.68 eV per cell
* DOS at the Fermi energy: 6.1 states/eV per cell
* energy relative to the elements, uncorrected: -4 meV/atom
* space group: No. 216

abc: 4.853 4.853 4.853
angles: 60.00 60.00 60.00
Fractional positions:
Pm1 0.000 0.000 0.000
Pa1 0.500 0.500 0.500
Si1 0.250 0.250 0.250



No. 7
Computed, not measured: a relaxed structure of SrLiH2 at the PBE level of DFT.

* electronic total energy: -10.98 eV per cell
* DOS at the Fermi energy: 1.4 states/eV per cell
* space group: No. 166

abc: 5.632 5.632 5.632
angles: 37.77 37.77 37.77
Fractional positions:
Sr1 0.000 0.000 0.000
Li1 0.500 0.500 0.500
H1 0.237 0.237 0.237
H2 0.763 0.763 0.763



No. 8
Computed, not measured: a relaxed structure of Na4Cd5Hg2 at the PBE level of DFT.

* ΔE_f: -1.4 eV/f.u.
* electronic total energy: -11.83 eV per cell
* DOS at the Fermi energy: 4.6 states/eV per cell
* space group: No. 10

abc: 7.923 3.315 10.643
angles: 90.00 93.81 90.00
Fractional positions:
Na1 0.157 0.000 0.393
Na2 0.284 0.000 0.949
Na3 0.716 0.000 0.051
Na4 0.843 0.000 0.607
Cd1 0.210 0.500 0.669
Cd2 0.433 0.500 0.214
Cd3 0.500 0.500 0.500
Cd4 0.567 0.500 0.786
Cd5 0.790 0.500 0.331
Hg1 0.059 0.500 0.141
Hg2 0.941 0.500 0.859



No. 9
Computed, not measured: a relaxed structure of CaCeBeN2 at the PBE level of DFT.

* electronic total energy: -64.72 eV per cell
* DOS at the Fermi energy: 11.1 states/eV per cell
* energy relative to the elements, uncorrected: -810 meV/atom
* space group: No. 49

abc: 5.115 5.299 6.509
angles: 90.00 90.00 90.00
Fractional positions:
Ca1 0.000 0.000 0.250
Ca2 0.000 0.000 0.750
Ce1 0.500 0.500 0.250
Ce2 0.500 0.500 0.750
Be1 0.500 0.000 0.000
Be2 0.500 0.000 0.500
N1 0.299 0.221 0.000
N2 0.299 0.779 0.500
N3 0.701 0.221 0.500
N4 0.701 0.779 0.000



No. 10
Computed, not measured: a relaxed structure of Ca2YIn2 at the PBE level of DFT.

* ΔE_f: -1.7 eV/f.u.
* electronic total energy: -35.24 eV per cell
* DOS at the Fermi energy: 6.0 states/eV per cell
* space group: No. 127

abc: 8.662 8.662 4.086
angles: 90.00 90.00 90.00
Fractional positions:
Ca1 0.170 0.330 0.000
Ca2 0.330 0.830 0.000
Ca3 0.670 0.170 0.000
Ca4 0.830 0.670 0.000
Y1 0.000 0.000 0.500
Y2 0.500 0.500 0.500
In1 0.130 0.630 0.500
In2 0.370 0.130 0.500
In3 0.630 0.870 0.500
In4 0.870 0.370 0.500



No. 11
Computed, not measured: a relaxed structure of Dy6IrO12 at the PBE level of DFT.

* electronic total energy: -152.87 eV per cell
* energy relative to the elements, uncorrected: -2995 meV/atom
* space group: No. 148

abc: 6.480 6.480 6.480
angles: 98.63 98.63 98.63
Fractional positions:
Dy1 0.111 0.644 0.814
Dy2 0.186 0.889 0.356
Dy3 0.356 0.186 0.889
Dy4 0.644 0.814 0.111
Dy5 0.814 0.111 0.644
Dy6 0.889 0.356 0.186
Ir1 0.500 0.500 0.500
O1 0.066 0.323 0.909
O2 0.091 0.934 0.677
O3 0.202 0.536 0.429
O4 0.323 0.909 0.066
O5 0.429 0.202 0.536
O6 0.464 0.571 0.798
O7 0.536 0.429 0.202
O8 0.571 0.798 0.464
O9 0.677 0.091 0.934
O10 0.798 0.464 0.571
O11 0.909 0.066 0.323
O12 0.934 0.677 0.091



No. 12
Computed, not measured: a relaxed structure of Ba2Ca2Bi3 at the PBE level of DFT.

* ΔE_f: -6.1 eV/f.u.
* electronic total energy: -51.20 eV per cell
* space group: No. 12

abc: 9.750 9.750 14.707
angles: 125.56 125.56 31.62
Fractional positions:
Ba1 0.111 0.111 0.462
Ba2 0.230 0.230 0.825
Ba3 0.770 0.770 0.175
Ba4 0.889 0.889 0.538
Ca1 0.092 0.092 0.164
Ca2 0.446 0.446 0.176
Ca3 0.554 0.554 0.824
Ca4 0.908 0.908 0.836
Bi1 0.131 0.131 0.978
Bi2 0.345 0.345 0.684
Bi3 0.414 0.414 0.375
Bi4 0.586 0.586 0.625
Bi5 0.655 0.655 0.316
Bi6 0.869 0.869 0.022



It is found that the ρ values, taken in the order of the records, are 5.1 4.3 8.1 5.0 5.8 8.3 2.7 6.3 4.1 4.3 8.6 5.6 g/cm³.
It is found that the total magnetization values, taken in the order of the records, are 0.00 1.22 0.00 1.84 1.58 1.00 0.16 0.00 2.24 0.00 3.00 0.00 Bohr magnetons per cell.